1.
Material: CsAlHg2
Method: DFT, GGA-PBEsol
State: relaxed

Results
The formation enthalpy at 0 K is -0.01 eV/atom. Its symmetry is I-42d (122). For the density of states at the Fermi level, the calculation gives 0.314 states/eV per atom.

a = 6.201 Å, b = 6.201 Å, c = 9.272 Å
α = 109.54°, β = 109.54°, γ = 90.00°
Fractional coordinates of all 8 atoms:
1 Al 0.750 0.250 0.500
2 Al 0.500 0.500 0.000
3 Hg 0.673 0.375 0.250
4 Hg 0.577 0.875 0.250
5 Hg 0.625 0.423 0.750
6 Hg 0.125 0.327 0.750
7 Cs 0.000 0.000 0.000
8 Cs 0.250 0.750 0.500

2.
Material: TlH3Pb
Method: DFT, GGA-PBEsol
State: relaxed

Results
Its symmetry is Pm-3m (221). For the density of states at the Fermi level, the calculation gives 0.289 states/eV per atom. The electronic total energy comes out at -2.690 eV per atom.

a = 4.137 Å, b = 4.137 Å, c = 4.137 Å
α = 90.00°, β = 90.00°, γ = 90.00°
Fractional coordinates of all 5 atoms:
1 H 0.000 0.000 0.500
2 H 0.500 0.000 0.000
3 H 0.000 0.500 0.000
4 Tl 0.000 0.000 0.000
5 Pb 0.500 0.500 0.500

3.
Material: SbRh2W
Method: DFT, GGA-PBEsol
State: relaxed

Results
Its symmetry is Pmm2 (25). For the density of states at the Fermi level, the calculation gives 0.680 states/eV per atom. As for the uncorrected formation energy: 0.0096 eV per atom.

a = 2.853 Å, b = 4.474 Å, c = 4.874 Å
α = 90.00°, β = 90.00°, γ = 90.00°
Fractional coordinates of all 4 atoms:
1 Rh 0.875 0.000 0.963
2 Rh 0.875 0.500 0.295
3 Sb 0.375 0.000 0.437
4 W 0.375 0.500 0.804

4.
Material: ZrMn2Cr
Method: DFT, GGA-PBEsol
State: relaxed

Results
The formation enthalpy at 0 K is 0.25 eV/atom. Its symmetry is Pm (6). For the density of states at the Fermi level, the calculation gives 1.212 states/eV per atom. The distance to the lowest polymorph of the same formula is 165 meV/atom.

a = 2.693 Å, b = 3.865 Å, c = 5.217 Å
α = 90.00°, β = 101.85°, γ = 90.00°
Fractional coordinates of all 4 atoms:
1 Cr 0.255 0.500 0.811
2 Mn 0.736 0.500 0.203
3 Mn 0.010 0.000 0.993
4 Zr 0.499 0.000 0.493

5.
Material: SiTePb
Method: DFT, GGA-PBEsol
State: relaxed

Results
Its symmetry is F-43m (216). For the density of states at the Fermi level, the calculation gives 1.146 states/eV per atom. The distance to the lowest polymorph of the same formula is 209 meV/atom. As for the uncorrected formation energy: 0.3818 eV per atom.

a = 4.891 Å, b = 4.891 Å, c = 4.891 Å
α = 60.00°, β = 60.00°, γ = 60.00°
Fractional coordinates of all 3 atoms:
1 Pb 0.500 0.500 0.500
2 Te 0.000 0.000 0.000
3 Si 0.750 0.750 0.750

6.
Material: Ca2CoAs
Method: DFT, GGA-PBEsol
State: relaxed

Results
The formation enthalpy at 0 K is -0.18 eV/atom. Its symmetry is Pmmm (47). For the density of states at the Fermi level, the calculation gives 1.187 states/eV per atom.

a = 3.291 Å, b = 3.793 Å, c = 6.734 Å
α = 90.00°, β = 90.00°, γ = 90.00°
Each line ends with the local moment (μB).
Fractional coordinates of all 4 atoms:
1 Co 0.500 0.500 0.000  1.50
2 Ca 0.000 0.000 0.748  -0.04
3 Ca 0.000 0.000 0.252  -0.04
4 As 0.500 0.500 0.500  0.04

7.
Material: Sc5Al
Method: DFT, GGA-PBEsol
State: relaxed

Results
The formation enthalpy at 0 K is -0.13 eV/atom. Its symmetry is Cm (8). For the density of states at the Fermi level, the calculation gives 1.449 states/eV per atom. The distance to the lowest polymorph of the same formula is 0 meV/atom.

a = 3.198 Å, b = 5.963 Å, c = 7.415 Å
α = 103.97°, β = 90.00°, γ = 105.56°
Fractional coordinates of all 6 atoms:
1 Sc 0.060 0.119 0.610
2 Sc 0.393 0.787 0.263
3 Sc 0.340 0.680 0.684
4 Sc 0.707 0.414 0.948
5 Sc 0.670 0.339 0.331
6 Al 0.997 0.994 0.998

8.
Material: AsRu3W
Method: DFT, GGA-PBEsol
State: relaxed

Results
The formation enthalpy at 0 K is 1.39 eV/atom. Its symmetry is Pm-3m (221). For the density of states at the Fermi level, the calculation gives 1.494 states/eV per atom.

a = 4.381 Å, b = 4.381 Å, c = 4.381 Å
α = 90.00°, β = 90.00°, γ = 90.00°
Each line ends with the local moment (μB).
Fractional coordinates of all 5 atoms:
1 Ru 0.000 0.000 0.500  -0.06
2 Ru 0.500 0.000 0.000  -0.06
3 Ru 0.000 0.500 0.000  -0.06
4 As 0.000 0.000 0.000  0.03
5 W 0.500 0.500 0.500  1.42

9.
Material: La2CdAu2
Method: DFT, GGA-PBEsol
State: relaxed

Results
The formation enthalpy at 0 K is -0.72 eV/atom. Its symmetry is P4/mbm (127). For the density of states at the Fermi level, the calculation gives 0.746 states/eV per atom.

a = 3.914 Å, b = 8.066 Å, c = 8.066 Å
α = 90.00°, β = 90.00°, γ = 90.00°
Fractional coordinates of all 10 atoms:
1 Au 0.000 0.873 0.627
2 Au 0.000 0.627 0.127
3 Au 0.000 0.373 0.873
4 Au 0.000 0.127 0.373
5 Cd 0.000 0.500 0.500
6 Cd 0.000 0.000 0.000
7 La 0.500 0.673 0.827
8 La 0.500 0.173 0.673
9 La 0.500 0.827 0.327
10 La 0.500 0.327 0.173

10.
Material: La2CrSi
Method: DFT, GGA-PBEsol
State: relaxed

Results
Its symmetry is P4/mmm (123). For the density of states at the Fermi level, the calculation gives 0.805 states/eV per atom. As for the uncorrected formation energy: 0.0362 eV per atom.

a = 3.876 Å, b = 3.876 Å, c = 6.473 Å
α = 90.00°, β = 90.00°, γ = 90.00°
Each line ends with the local moment (μB).
Fractional coordinates of all 4 atoms:
1 Cr 0.500 0.500 0.000  -3.51
2 La 0.000 0.000 0.732  0.07
3 La 0.000 0.000 0.268  0.07
4 Si 0.500 0.500 0.500  0.01

11.
Material: CdNiRu2
Method: DFT, GGA-PBEsol
State: relaxed

Results
The formation enthalpy at 0 K is 0.50 eV/atom. Its symmetry is C2/m (12). For the density of states at the Fermi level, the calculation gives 1.453 states/eV per atom.

a = 2.649 Å, b = 4.648 Å, c = 5.285 Å
α = 115.06°, β = 102.85°, γ = 93.68°
Fractional coordinates of all 4 atoms:
1 Cd 0.500 0.000 0.000
2 Ru 0.500 0.500 0.500
3 Ru 0.000 0.000 0.500
4 Ni 0.000 0.500 0.000

12.
Material: RbScS2O8
Method: DFT, GGA-PBEsol
State: relaxed

Results
Its symmetry is P-3m1 (164). For the density of states at the Fermi level, the calculation gives 0.000 states/eV per atom. As for the uncorrected formation energy: -2.0872 eV per atom.

a = 5.253 Å, b = 5.253 Å, c = 7.964 Å
α = 90.00°, β = 90.00°, γ = 120.00°
Fractional coordinates of all 12 atoms:
1 S 0.333 0.667 0.223
2 S 0.667 0.333 0.777
3 O 0.667 0.333 0.595
4 O 0.820 0.639 0.843
5 O 0.819 0.180 0.843
6 O 0.181 0.361 0.157
7 O 0.180 0.819 0.157
8 O 0.333 0.667 0.405
9 O 0.361 0.181 0.843
10 O 0.639 0.820 0.157
11 Rb 0.000 0.000 0.500
12 Sc 0.000 0.000 0.000